The following is a GGA-PBEsol calculation of a relaxed BaCa2C2O6F2 crystal, from the Alexandria database.

## Properties
crystal system: orthorhombic
VASP energy: -191.57 eV for the cell shown
uncorrected formation energy: -2.67 eV/atom
M_tot: 0.000 μB per atom

Unit cell a=5.7891 b=6.8730 c=9.4328 alpha=90.00 beta=90.00 gamma=114.91
Last column: nearest neighbours and their distance in Å.
Positions (direct):
1 Ba 0.0027 0.0000 0.2500  4 F 2.75-2.86, 6 O 2.78-2.90
2 Ba 0.9973 0.0000 0.7500  4 F 2.75-2.86, 6 O 2.78-2.90
3 C 0.0987 0.5069 0.7500  3 O 1.29-1.30
4 C 0.9013 0.4931 0.2500  3 O 1.29-1.30
5 C 0.5918 0.4931 0.7500  3 O 1.29-1.30
6 C 0.4082 0.5069 0.2500  3 O 1.29-1.30
7 Ca 0.3539 0.7078 0.0000  2 F 2.28, 6 O 2.43-2.48
8 Ca 0.6461 0.2922 0.5000  2 F 2.28, 6 O 2.43-2.48
9 Ca 0.6461 0.2922 0.0000  2 F 2.28, 6 O 2.43-2.48
10 Ca 0.3539 0.7078 0.5000  2 F 2.28, 6 O 2.43-2.48
11 F 0.2628 0.0000 0.0057  2 Ca 2.28
12 F 0.7372 0.0000 0.5057  2 Ca 2.28
13 F 0.2628 0.0000 0.4943  2 Ca 2.28
14 F 0.7372 0.0000 0.9943  2 Ca 2.28
15 O 0.0425 0.4043 0.8688  1 C 1.29
16 O 0.9575 0.5957 0.3688  1 C 1.29
17 O 0.6382 0.5957 0.6312  1 C 1.29
18 O 0.3618 0.4043 0.1312  1 C 1.29
19 O 0.9575 0.5957 0.1312  1 C 1.29
20 O 0.0425 0.4043 0.6312  1 C 1.29
21 O 0.3618 0.4043 0.3688  1 C 1.29
22 O 0.6382 0.5957 0.8688  1 C 1.29
23 O 0.2247 0.7150 0.7500  1 C 1.30
24 O 0.7753 0.2850 0.2500  1 C 1.30
25 O 0.5098 0.2850 0.7500  1 C 1.30
26 O 0.4902 0.7150 0.2500  1 C 1.30

The following is a GGA-PBEsol calculation of a relaxed BaNaCe2C4O12F crystal, from the Alexandria database.

## Properties
crystal system: hexagonal
VASP energy: -336.06 eV for the cell shown
uncorrected formation energy: -2.28 eV/atom
M_tot: 0.095 μB per atom

Unit cell a=5.0753 b=5.0753 c=22.7475 alpha=90.00 beta=90.00 gamma=120.00
Last column: nearest neighbours and their distance in Å.
Positions (direct):
1 Ba 0.0000 0.0000 0.5000  12 O 2.94
2 Ba 0.0000 0.0000 0.0000  12 O 2.94
3 Na 0.3333 0.6667 0.7500  6 O 2.36
4 Na 0.6667 0.3333 0.2500  6 O 2.36
5 Ce 0.3333 0.6667 0.1466  1 F 2.35, 9 O 2.47-2.63
6 Ce 0.6667 0.3333 0.6466  1 F 2.35, 9 O 2.47-2.63
7 Ce 0.6667 0.3333 0.8534  1 F 2.35, 9 O 2.47-2.63
8 Ce 0.3333 0.6667 0.3534  1 F 2.35, 9 O 2.47-2.63
9 C 0.0000 0.0000 0.8233  3 O 1.29
10 C 0.0000 0.0000 0.3233  3 O 1.29
11 C 0.0000 0.0000 0.1767  3 O 1.29
12 C 0.0000 0.0000 0.6767  3 O 1.29
13 C 0.6667 0.3333 0.0666  3 O 1.29
14 C 0.3333 0.6667 0.5666  3 O 1.29
15 C 0.3333 0.6667 0.9334  3 O 1.29
16 C 0.6667 0.3333 0.4334  3 O 1.29
17 O 0.7065 0.8532 0.8245  1 C 1.29
18 O 0.8532 0.1468 0.3245  1 C 1.29
19 O 0.8532 0.7065 0.3245  1 C 1.29
20 O 0.1468 0.2935 0.8245  1 C 1.29
21 O 0.1468 0.8532 0.8245  1 C 1.29
22 O 0.2935 0.1468 0.1755  1 C 1.29
23 O 0.8532 0.1468 0.1755  1 C 1.29
24 O 0.2935 0.1468 0.3245  1 C 1.29
25 O 0.8532 0.7065 0.1755  1 C 1.29
26 O 0.1468 0.2935 0.6755  1 C 1.29
27 O 0.7065 0.8532 0.6755  1 C 1.29
28 O 0.1468 0.8532 0.6755  1 C 1.29
29 O 0.9607 0.4803 0.0652  1 C 1.29
30 O 0.4803 0.5197 0.5652  1 C 1.29
31 O 0.4803 0.9607 0.5652  1 C 1.29
32 O 0.5197 0.0393 0.0652  1 C 1.29
33 O 0.5197 0.4803 0.0652  1 C 1.29
34 O 0.0393 0.5197 0.9348  1 C 1.29
35 O 0.4803 0.5197 0.9348  1 C 1.29
36 O 0.0393 0.5197 0.5652  1 C 1.29
37 O 0.4803 0.9607 0.9348  1 C 1.29
38 O 0.5197 0.0393 0.4348  1 C 1.29
39 O 0.9607 0.4803 0.4348  1 C 1.29
40 O 0.5197 0.4803 0.4348  1 C 1.29
41 F 0.3333 0.6667 0.2500  2 Ce 2.35
42 F 0.6667 0.3333 0.7500  2 Ce 2.35

The following is a GGA-PBEsol calculation of a relaxed BaC3Cl crystal, from the Alexandria database.

## Properties
crystal system: cubic
VASP energy: -14.62 eV for the cell shown
uncorrected formation energy: 3.69 eV/atom
M_tot: 1.107 μB per atom

Unit cell a=5.1218 b=5.1218 c=5.1218 alpha=90.00 beta=90.00 gamma=90.00
Last column: nearest neighbours and their distance in Å.
Positions (direct):
1 C 0.0000 0.5000 0.0000  2 Ba 2.56
2 C 0.0000 0.0000 0.5000  2 Ba 2.56
3 C 0.5000 0.0000 0.0000  2 Ba 2.56
4 Ba 0.0000 0.0000 0.0000  6 C 2.56
5 Cl 0.5000 0.5000 0.5000  12 C 3.62